(1)
This record from Alexandria via LeMat-Bulk describes a relaxed structure of ZnBiSbMo2. The functional is PBE.

Properties
The calculation puts the uncorrected formation energy at 8.77 eV per formula unit.

Lattice parameters (Å, degrees): 5.4095 5.4095 5.0552 90.00 90.00 90.00
Closest atoms and distances in Å follow each position.
Space group P4/mmm (No. 123)
Unique sites:
Zn1 0.0000 0.0000 0.0000  2 Bi 2.53
Bi1 0.0000 0.0000 0.5000  2 Zn 2.53, 4 Mo 2.70
Sb1 0.5000 0.5000 0.0000  8 Mo 3.70, 4 Zn 3.83
Mo1 0.0000 0.5000 0.5000  2 Bi 2.70

(2)
This record from Alexandria via LeMat-Bulk describes a relaxed structure of KCe2NbO8. The functional is PBE.

Properties
The calculation puts the uncorrected formation energy at -30.54 eV per formula unit.

Lattice parameters (Å, degrees): 6.8682 6.9317 8.0721 90.00 91.53 90.00
Closest atoms and distances in Å follow each position.
Space group C2/m (No. 12)
Unique sites:
K1 0.0000 0.0000 0.0000  6 O 2.70-2.86
Ce1 0.0173 0.5000 0.2839  4 O 2.15-2.29
Nb1 0.0000 0.0000 0.5000  6 O 2.02-2.03
O1 0.0187 0.1943 0.6881  1 Nb 2.03, 1 Ce 2.15
O2 0.1072 0.5000 0.9983  1 O 1.47
O3 0.2073 0.5000 0.5122  1 Nb 2.02, 1 Ce 2.23

(3)
This record from Alexandria via LeMat-Bulk describes a relaxed structure of NaVTc3. The functional is PBE.

Properties
Its formation energy is 2.51 eV per atom. Its energy above the most stable polymorph in this dataset is 1243.9 meV/atom.

Lattice parameters (Å, degrees): 4.4356 4.4356 4.4356 90.00 90.00 90.00
Closest atoms and distances in Å follow each position.
Space group Pm-3m (No. 221)
Unique sites:
Na1 0.0000 0.0000 0.0000  6 Tc 2.22
V1 0.5000 0.5000 0.5000  12 Tc 3.14
Tc1 0.0000 0.0000 0.5000  2 Na 2.22

(4)
This record from Alexandria via LeMat-Bulk describes a relaxed structure of Li5Y2Zn12. The functional is PBE.

Properties
Its formation energy is -0.25 eV per atom.

Lattice parameters (Å, degrees): 9.0020 9.0020 13.0910 90.00 90.00 120.00
Closest atoms and distances in Å follow each position.
Space group R-3m (No. 166, hexagonal axes)
Unique sites:
Li1 0.0000 0.0000 0.0965  4 Li 2.53-2.76
Li2 0.0000 0.5000 0.5000  8 Zn 2.57-2.61, 2 Li 2.76
Y1 0.0000 0.0000 0.3461  15 Zn 3.17-3.40, 4 Li 3.27-3.50
Zn1 0.0000 0.2971 0.0000  2 Li 2.57, 6 Zn 2.67-2.73
Zn2 0.0023 0.5011 0.1530  6 Zn 2.61-2.73, 3 Li 2.61-2.84

(5)
This record from Alexandria via LeMat-Bulk describes a relaxed structure of KBa4Cl10. The functional is PBE.

Properties
The calculation puts the uncorrected formation energy at -33.61 eV per formula unit.

Lattice parameters (Å, degrees): 5.2527 5.2527 64.0901 90.00 90.00 120.00
Closest atoms and distances in Å follow each position.
Space group R-3m (No. 166, hexagonal axes)
Unique sites:
K1 0.0000 0.0000 0.0000  8 Cl 3.22-3.25
Ba1 0.0000 0.0000 0.1998  8 Cl 3.20-3.22
Ba2 0.0000 0.0000 0.4000  8 Cl 3.18-3.21
Cl1 0.0000 0.0000 0.0507  3 Ba 3.20, 1 K 3.25
Cl2 0.0000 0.0000 0.1499  4 Ba 3.20-3.21
Cl3 0.0000 0.0000 0.2500  4 Ba 3.21-3.22
Cl4 0.0000 0.0000 0.3503  1 Ba 3.18, 3 K 3.22
Cl5 0.0000 0.0000 0.4500  4 Ba 3.20-3.22

(6)
This record from Alexandria via LeMat-Bulk describes a relaxed structure of BeCrTeRh2. The functional is PBE.

Properties
Its energy above the most stable polymorph in this dataset is 48.4 meV/atom. The calculation puts the uncorrected formation energy at 3.79 eV per formula unit.

Lattice parameters (Å, degrees): 4.5139 4.5139 4.2104 90.00 90.00 90.00
Closest atoms and distances in Å follow each position.
Space group P4/mmm (No. 123)
Unique sites:
Be1 0.0000 0.0000 0.0000  2 Cr 2.11
Cr1 0.0000 0.0000 0.5000  2 Be 2.11, 4 Rh 2.26
Te1 0.5000 0.5000 0.0000  8 Rh 3.09, 4 Be 3.19
Rh1 0.0000 0.5000 0.5000  2 Cr 2.26

(7)
This record from Alexandria via LeMat-Bulk describes a relaxed structure of ZnAgPt2. The functional is PBE.

Properties
Its formation energy is -0.17 eV per atom.

Lattice parameters (Å, degrees): 2.8858 4.6590 9.3938 90.00 90.00 90.00
Closest atoms and distances in Å follow each position.
Space group Imm2 (No. 44)
Unique sites:
Zn1 0.0000 0.0000 0.0000  6 Pt 2.59-2.74, 2 Ag 2.73, 2 Zn 2.89
Ag1 0.0000 0.5000 0.7471  2 Zn 2.73, 6 Pt 2.75-2.90, 2 Ag 2.89
Pt1 0.0000 0.0000 0.5147  4 Zn 2.74, 4 Pt 2.81-2.89, 2 Ag 2.90
Pt2 0.0000 0.5000 0.2711  2 Zn 2.59, 4 Ag 2.75, 4 Pt 2.81-2.89

(8)
This record from Alexandria via LeMat-Bulk describes a relaxed structure of TmGa2Os. The functional is PBE.

Properties
Its formation energy is -0.32 eV per atom.

Lattice parameters (Å, degrees): 6.4508 6.4508 6.4508 90.00 90.00 90.00
Closest atoms and distances in Å follow each position.
Space group Fm-3m (No. 225)
Unique sites:
Tm1 0.0000 0.0000 0.0000  8 Ga 2.79
Ga1 0.2500 0.2500 0.2500  4 Os 2.79, 4 Tm 2.79
Os1 0.0000 0.0000 0.5000  8 Ga 2.79

no.,DFT total energy (eV/atom)
1,-4.43
2,-7.77
3,-5.80
4,-2.24
5,-4.06
6,-5.48
7,-4.22
8,-5.76